Computed, not measured: Li5AgIrN2 after structural relaxation at the PBE level of DFT.

```
Li5AgIrN2
1.0
-0.225 -3.395 2.456
4.166 0.082 0.496
-0.823 4.515 6.166
Li Ir N Ag
5 1 2 1
direct
0.500 0.000 0.224
0.000 0.500 0.776
0.000 0.500 0.224
0.000 0.000 0.500
0.500 0.000 0.776
0.000 0.000 0.000
0.000 0.000 0.760
0.000 0.000 0.240
0.500 0.500 0.500
```

Values from the calculation:
The density of states at the Fermi level comes out at 3.31 states/eV/f.u. Its energy relative to the elements, uncorrected is -234.8 meV per atom.

Computed, not measured: SrMg4Tl6 after structural relaxation at the PBE level of DFT.

```
SrMg4Tl6
1.0
-5.566 3.997 3.630
-0.769 -7.599 -1.340
6.745 -1.536 3.504
Mg Tl Sr
4 6 1
direct
0.000 0.580 0.261
0.000 0.261 0.580
0.319 0.739 0.739
0.681 0.420 0.420
0.500 0.500 0.000
0.395 0.492 0.492
0.605 0.097 0.097
0.000 0.508 0.903
0.500 0.000 0.500
0.000 0.903 0.508
0.000 0.000 0.000
```

Values from the calculation:
The density of states at the Fermi level comes out at 5.17 states/eV/f.u. The energy relative to the elements comes out at -0.039 eV/atom.

Computed, not measured: CeSnSb after structural relaxation at the PBE level of DFT.

```
CeSnSb
1.0
4.613 0.000 0.000
0.000 4.624 0.000
0.000 0.000 8.955
Sn Ce Sb
2 2 2
direct
0.500 0.000 0.750
0.500 0.000 0.250
0.000 0.500 0.750
0.000 0.500 0.250
0.000 0.000 0.000
0.000 0.000 0.500
```

Values from the calculation:
The density of states at the Fermi level comes out at 5.67 states/eV/f.u. Its energy relative to the elements, uncorrected is -545.2 meV per atom.

Computed, not measured: SrMnAu2 after structural relaxation at the PBE level of DFT.

```
SrMnAu2
1.0
4.941 -0.012 0.002
0.014 4.941 0.002
-0.001 -0.001 3.668
Sr Au Mn
1 2 1
direct
0.000 0.500 0.500
0.500 0.500 0.000
0.000 0.000 0.000
0.500 0.000 0.500
```

Values from the calculation:
The density of states at the Fermi level comes out at 2.51 states/eV/f.u. The energy relative to the elements comes out at -0.161 eV/atom.

Computed, not measured: Li2Ga2Ag7 after structural relaxation at the PBE level of DFT.

```
Li2Ga2Ag7
1.0
-2.482 -3.372 -3.342
-4.100 -3.401 3.618
-4.278 3.545 -3.256
Ag Ga Li
7 2 2
direct
0.700 0.066 0.572
0.300 0.934 0.428
0.973 0.327 0.327
0.027 0.673 0.673
0.300 0.428 0.934
0.700 0.572 0.066
0.500 0.000 0.000
0.534 0.666 0.666
0.466 0.334 0.334
0.000 0.150 0.850
0.000 0.850 0.150
```

Values from the calculation:
The density of states at the Fermi level comes out at 3.77 states/eV/f.u. The energy relative to the elements comes out at -0.060 eV/atom.

Computed, not measured: Tb2MgFe after structural relaxation at the PBE level of DFT.

```
Tb2MgFe
1.0
-3.292 -0.583 0.081
-0.013 -0.387 -3.321
1.481 -8.232 0.954
Tb Mg Fe
2 1 1
direct
0.000 0.000 0.807
0.000 0.000 0.193
0.500 0.500 0.500
0.500 0.500 0.000
```

Values from the calculation:
The density of states at the Fermi level comes out at 3.17 states/eV/f.u. The energy relative to the elements comes out at 0.014 eV/atom.

Computed, not measured: NdScAg2 after structural relaxation at the PBE level of DFT.

```
NdScAg2
1.0
-0.642 -0.997 -3.324
-1.416 -3.011 1.177
-6.668 3.256 0.310
Nd Ag Sc
1 2 1
direct
0.500 0.500 0.500
0.000 0.000 0.212
0.000 0.000 0.788
0.500 0.500 0.000
```

Values from the calculation:
The density of states at the Fermi level comes out at 2.54 states/eV/f.u. The energy relative to the elements comes out at -0.257 eV/atom.

Computed, not measured: YFeCu2 after structural relaxation at the PBE level of DFT.

```
YFeCu2
1.0
3.262 0.000 0.000
0.000 3.262 0.000
0.000 0.000 6.144
Cu Fe Y
2 1 1
direct
0.000 0.000 0.052
0.500 0.500 0.250
0.000 0.000 0.447
0.500 0.500 0.751
```

Values from the calculation:
The density of states at the Fermi level comes out at 3.10 states/eV/f.u. The energy relative to the elements comes out at 0.105 eV/atom.

no.,calculated density (g/cm³)
1,4.45
2,7.22
3,6.62
4,9.95
5,7.59
6,7.02
7,7.27
8,6.91